Computed, not measured: a relaxed Li2NiW crystal at the GGA-PBEsol level of DFT.

Geometry as POSCAR:
```
Li2NiW
1.0
2.5219 0.0000 0.0000
-1.2609 4.2209 -0.0070
0.0000 -0.5804 5.0441
Ni Li W
1 2 1
direct
0.5084 0.0168 0.4639 Ni
0.9956 0.9911 0.9645 Li
0.2367 0.4735 0.7729 Li
0.7593 0.5186 0.2988 W
```

Summary:
**Symmetry**: No. 8
**Excess energy over the best structure of this formula in the dataset**: 0.27 eV/f.u.
**Formation energy from the elements**: 0.331 eV per atom
**Spin magnetization**: 0.00 μB per formula unit